Record 1
The following is a DFT calculation (PBE) of a relaxed ZrCdPtRh crystal.

The value obtained for the density is 11.916 Mg/m³. The formation energy comes out at -698 meV per atom.

The structure belongs to space group I-4m2 (No. 119); the cell edges are 4.321, 4.321 and 7.489 Å and the angles 90.00°, 90.00° and 90.00°. The asymmetric unit holds Zr at (0.000, 0.000, 0.000), Cd at (0.000, 0.000, 0.500), Pt at (0.000, 0.500, 0.250) and Rh at (0.000, 0.500, 0.750).

---

Record 2
The following is a DFT calculation (PBE) of a relaxed K3NaIr crystal.

The value obtained for the density is 2.282 Mg/m³. The calculation puts the excess energy over the best structure of this formula in the dataset at 0 meV/atom. The formation energy comes out at 637 meV per atom.

The structure belongs to space group Pm-3m (No. 221); the cell edges are 6.231, 6.231 and 6.231 Å and the angles 90.00°, 90.00° and 90.00°. The asymmetric unit holds K at (0.000, 0.000, 0.500), Na at (0.500, 0.500, 0.500) and Ir at (0.000, 0.000, 0.000).

---

Record 3
The following is a DFT calculation (PBE) of a relaxed CaNiGe3 crystal.

The value obtained for the density is 3.600 Mg/m³. The formation energy comes out at 1480 meV per atom.

The structure belongs to space group Pm-3m (No. 221); the cell edges are 5.267, 5.267 and 5.267 Å and the angles 90.00°, 90.00° and 90.00°. The asymmetric unit holds Ca at (0.000, 0.000, 0.000), Ni at (0.500, 0.500, 0.500) and Ge at (0.000, 0.000, 0.500).

---

Record 4
The following is a DFT calculation (PBE) of a relaxed EuYSe crystal.

The value obtained for the density is 5.683 Mg/m³. The uncorrected formation energy comes out at -1.144 eV per atom.

The structure belongs to space group P3m1 (No. 156); the cell edges are 3.9857, 3.9857 and 6.7933 Å and the angles 90.00°, 90.00° and 120.00°. The asymmetric unit holds Eu at (0.0000, 0.0000, 0.0000), Y at (0.3333, 0.6667, 0.5443) and Se at (0.6667, 0.3333, 0.2880).

---

Record 5
The following is a DFT calculation (PBE) of a relaxed SnSb2Au6 crystal.

The value obtained for the density is 12.660 Mg/m³. The uncorrected formation energy comes out at -0.006 eV per atom.

The structure belongs to space group Fdd2 (No. 43); the cell edges are 12.691, 17.818 and 7.165 Å and the angles 90.00°, 90.00° and 90.00°. The asymmetric unit holds Sn at (0.000, 0.000, 0.000), Sb at (0.007, 0.195, 0.590), Au at (0.032, 0.406, 0.807), Au at (0.071, 0.339, 0.448) and Au at (0.101, 0.461, 0.165).

---

Record 6
The following is a DFT calculation (PBE) of a relaxed TlTeRu2 crystal.

The value obtained for the density is 11.355 Mg/m³. The uncorrected formation energy comes out at 0.437 eV per atom. The calculation puts the excess energy over the best structure of this formula in the dataset at 63 meV/atom.

The structure belongs to space group Imm2 (No. 44); the cell edges are 3.277, 3.987 and 11.956 Å and the angles 90.00°, 90.00° and 90.00°. The asymmetric unit holds Tl at (0.000, 0.000, 0.000), Te at (0.000, 0.500, 0.253), Ru at (0.000, 0.000, 0.586) and Ru at (0.000, 0.500, 0.821).